Entry 1:
# LaCe2PrBi5 | Alexandria | PBE-GGA | relaxed
data_LaCe2PrBi5
_cell_length_a 5.605
_cell_length_b 5.605
_cell_length_c 12.212
_cell_angle_alpha 90.00
_cell_angle_beta 90.00
_cell_angle_gamma 90.00
_symmetry_space_group_name_H-M 'P 4/m m m'
_symmetry_Int_Tables_number 123
_symmetry_space_group_name_Hall '-P 4 2'
loop_
_atom_site_label
_atom_site_fract_x
_atom_site_fract_y
_atom_site_fract_z
La1 0.000 0.000 0.000
Ce1 0.500 0.500 0.278
Pr1 0.000 0.000 0.500
Bi1 0.000 0.000 0.248
Bi2 0.000 0.500 0.500
Bi3 0.500 0.500 0.000
# * M_tot: 2.0 μB/f.u.
# * calculated density: 6.947 g cm⁻³
# * ΔE_f: -0.0405 eV/atom
# * N(E_F): 22.76 states/eV/f.u.

---

Entry 2:
# TmPaCo3 | Alexandria | PBE-GGA | relaxed
data_TmPaCo3
_cell_length_a 3.756
_cell_length_b 22.916
_cell_length_c 3.973
_cell_angle_alpha 90.00
_cell_angle_beta 90.00
_cell_angle_gamma 90.00
_symmetry_space_group_name_H-M 'C m c m'
_symmetry_Int_Tables_number 63
_symmetry_space_group_name_Hall '-C 2c 2'
loop_
_atom_site_label
_atom_site_fract_x
_atom_site_fract_y
_atom_site_fract_z
Tm1 0.000 0.069 0.250
Pa1 0.000 0.199 0.750
Co1 0.000 0.313 0.750
Co2 0.000 0.376 0.250
Co3 0.000 0.476 0.250
# * M_tot: 0.3 μB/f.u.
# * distance to the lowest polymorph of the same formula: 0.00 eV/f.u.
# * calculated density: 11.204 g cm⁻³
# * ΔE_f: -0.3107 eV/atom
# * N(E_F): 4.71 states/eV/f.u.

---

Entry 3:
# Cs2ZrSF6 | Alexandria | PBE-GGA | relaxed
data_Cs2ZrSF6
_cell_length_a 6.800
_cell_length_b 6.800
_cell_length_c 10.664
_cell_angle_alpha 90.00
_cell_angle_beta 90.00
_cell_angle_gamma 90.00
_symmetry_space_group_name_H-M 'I 4/m m m'
_symmetry_Int_Tables_number 139
_symmetry_space_group_name_Hall '-I 4 2'
loop_
_atom_site_label
_atom_site_fract_x
_atom_site_fract_y
_atom_site_fract_z
Cs1 0.000 0.500 0.250
Zr1 0.000 0.000 0.000
S1 0.000 0.000 0.500
F1 0.000 0.000 0.191
F2 0.212 0.212 0.000
# * M_tot: 2.0 μB/f.u.
# * uncorrected formation energy: -2.721 eV/atom
# * calculated density: 3.388 g cm⁻³
# * N(E_F): 0.00 states/eV/f.u.

---

The highest N(E_F) belongs to which entry? LaCe2PrBi5